Record 1
Density functional theory data (PBE-GGA) for a geometry-optimized FeCu2Pd5Pt structure.

Output
**ΔE_f**: 158 kJ/mol of formula units
**VASP energy**: -5.225 eV per atom
**Total magnetic moment**: 8.85 μB per cell

a = 8.7641 Å, b = 8.7641 Å, c = 8.7641 Å
α = 139.70°, β = 139.70°, γ = 58.31°
Element x y z (fractional)
Fe  0.2500  0.2500  0.0000
Fe  0.7500  0.7500  0.0000
Cu  0.1258  0.6258  0.7517
Cu  0.3742  0.1258  0.5000
Cu  0.6258  0.8742  0.5000
Cu  0.8742  0.3742  0.2483
Pd  0.0000  0.0000  0.0000
Pd  0.0961  0.1236  0.5000
Pd  0.1236  0.6236  0.0275
Pd  0.3764  0.4039  0.5000
Pd  0.4039  0.9039  0.0275
Pd  0.5000  0.5000  0.0000
Pd  0.5961  0.0961  0.9725
Pd  0.6236  0.5961  0.5000
Pd  0.8764  0.3764  0.9725
Pd  0.9039  0.8764  0.5000
Pt  0.2500  0.7500  0.5000
Pt  0.7500  0.2500  0.5000

***

Record 2
Density functional theory data (PBE-GGA) for a geometry-optimized FeCu2SbPd structure.

Output
**Formation energy (no corrections)**: 0.726 eV/atom
**VASP energy**: -4.468 eV per atom
**Total magnetic moment**: 3.23 μB per cell

a = 4.4746 Å, b = 4.4746 Å, c = 4.6821 Å
α = 90.00°, β = 90.00°, γ = 90.00°
Element x y z (fractional)
Fe  0.0000  0.0000  0.0000
Cu  0.0000  0.5000  0.0000
Cu  0.5000  0.0000  0.0000
Sb  0.5000  0.5000  0.5000
Pd  0.0000  0.0000  0.5000

***

Record 3
Density functional theory data (PBE-GGA) for a geometry-optimized TaFeCuPd structure.

Output
**ΔE_f**: -11 kJ/mol of formula units
**VASP energy**: -7.430 eV per atom
**Total magnetic moment**: 0.00 μB per cell

a = 4.2891 Å, b = 4.2891 Å, c = 4.2891 Å
α = 60.00°, β = 60.00°, γ = 60.00°
Element x y z (fractional)
Ta  0.0000  0.0000  0.0000
Fe  0.7500  0.7500  0.7500
Cu  0.5000  0.5000  0.5000
Pd  0.2500  0.2500  0.2500

***

Record 4
Density functional theory data (PBE-GGA) for a geometry-optimized FeCuTePd2 structure.

Output
**Formation energy (no corrections)**: 0.622 eV/atom
**VASP energy**: -4.596 eV per atom
**Total magnetic moment**: 3.73 μB per cell

a = 4.6922 Å, b = 4.6922 Å, c = 4.4619 Å
α = 90.00°, β = 90.00°, γ = 90.00°
Element x y z (fractional)
Fe  0.0000  0.0000  0.0000
Cu  0.0000  0.0000  0.5000
Te  0.5000  0.5000  0.5000
Pd  0.0000  0.5000  0.0000
Pd  0.5000  0.0000  0.0000

***

Question: Which of these has the highest total magnetic moment?
Answer: FeCu2Pd5Pt